[1]
Ca2ScCo: optimized geometry, PBE-GGA.

Structure (CIF):
```
data_Ca2ScCo
_chemical_formula_sum 'Ca6 Sc3 Co3'
_space_group_name_H-M_alt 'R -3 m'
_space_group_IT_number 166
_space_group_name_Hall '-R 3 2"'
_cell_length_a 3.4849
_cell_length_b 3.4849
_cell_length_c 30.3290
_cell_angle_alpha 90.00
_cell_angle_beta 90.00
_cell_angle_gamma 120.00
loop_
_atom_site_label
_atom_site_type_symbol
_atom_site_fract_x
_atom_site_fract_y
_atom_site_fract_z
Ca1 Ca 0.0000 0.0000 0.2318
Sc1 Sc 0.0000 0.0000 0.0000
Co1 Co 0.0000 0.0000 0.5000
```

Calculated volume, Å³/f.u.: 106
Excess energy over the best structure of this formula in the dataset, meV/atom: 414.7
Formation energy, kJ/mol of formula units: 172
D(E_F), states/eV/cell: 11.1
Magnetization, μB/cell: 5.14
Uncorrected energy, eV per atom: -3.916

---

[2]
Ca2ScCo: optimized geometry, PBE-GGA.

Structure (CIF):
```
data_Ca2ScCo
_chemical_formula_sum 'Ca8 Sc4 Co4'
_space_group_name_H-M_alt 'F m -3 m'
_space_group_IT_number 225
_space_group_name_Hall '-F 4 2 3'
_cell_length_a 7.2874
_cell_length_b 7.2874
_cell_length_c 7.2874
_cell_angle_alpha 90.00
_cell_angle_beta 90.00
_cell_angle_gamma 90.00
loop_
_atom_site_label
_atom_site_type_symbol
_atom_site_fract_x
_atom_site_fract_y
_atom_site_fract_z
Ca1 Ca 0.2500 0.2500 0.2500
Sc1 Sc 0.0000 0.0000 0.0000
Co1 Co 0.0000 0.0000 0.5000
```

Calculated volume, Å³/f.u.: 97
Excess energy over the best structure of this formula in the dataset, meV/atom: 506.6
Formation energy, kJ/mol of formula units: 207
D(E_F), states/eV/cell: 29.3
Magnetization, μB/cell: 0.01
Uncorrected energy, eV per atom: -3.824

---

[3]
Ca2ScCo: optimized geometry, PBE-GGA.

Structure (CIF):
```
data_Ca2ScCo
_chemical_formula_sum 'Ca8 Sc4 Co4'
_space_group_name_H-M_alt 'I -4 2 d'
_space_group_IT_number 122
_space_group_name_Hall 'I -4 2bw'
_cell_length_a 10.3962
_cell_length_b 10.3962
_cell_length_c 4.6646
_cell_angle_alpha 90.00
_cell_angle_beta 90.00
_cell_angle_gamma 90.00
loop_
_atom_site_label
_atom_site_type_symbol
_atom_site_fract_x
_atom_site_fract_y
_atom_site_fract_z
Ca1 Ca 0.0998 0.2500 0.1250
Sc1 Sc 0.0000 0.0000 0.5000
Co1 Co 0.0000 0.0000 0.0000
```

Calculated volume, Å³/f.u.: 126
Excess energy over the best structure of this formula in the dataset, meV/atom: 285.0
Formation energy, kJ/mol of formula units: 121
D(E_F), states/eV/cell: 13.9
Magnetization, μB/cell: 0.00
Uncorrected energy, eV per atom: -4.045

---

[4]
Ca2ScCo: optimized geometry, PBE-GGA.

Structure (CIF):
```
data_Ca2ScCo
_chemical_formula_sum 'Ca4 Sc2 Co2'
_space_group_name_H-M_alt 'I m m m'
_space_group_IT_number 71
_space_group_name_Hall '-I 2 2'
_cell_length_a 3.2873
_cell_length_b 3.9772
_cell_length_c 16.7976
_cell_angle_alpha 90.00
_cell_angle_beta 90.00
_cell_angle_gamma 90.00
loop_
_atom_site_label
_atom_site_type_symbol
_atom_site_fract_x
_atom_site_fract_y
_atom_site_fract_z
Ca1 Ca 0.0000 0.0000 0.1570
Sc1 Sc 0.0000 0.5000 0.0000
Co1 Co 0.0000 0.5000 0.5000
```

Calculated volume, Å³/f.u.: 110
Excess energy over the best structure of this formula in the dataset, meV/atom: 76.5
Formation energy, kJ/mol of formula units: 41
D(E_F), states/eV/cell: 6.3
Magnetization, μB/cell: 0.00
Uncorrected energy, eV per atom: -4.254

---

[5]
Ca2ScCo: optimized geometry, PBE-GGA.

Structure (CIF):
```
data_Ca2ScCo
_chemical_formula_sum 'Ca4 Sc2 Co2'
_space_group_name_H-M_alt 'I 4/m m m'
_space_group_IT_number 139
_space_group_name_Hall '-I 4 2'
_cell_length_a 4.3708
_cell_length_b 4.3708
_cell_length_c 10.2745
_cell_angle_alpha 90.00
_cell_angle_beta 90.00
_cell_angle_gamma 90.00
loop_
_atom_site_label
_atom_site_type_symbol
_atom_site_fract_x
_atom_site_fract_y
_atom_site_fract_z
Ca1 Ca 0.0000 0.5000 0.2500
Sc1 Sc 0.0000 0.0000 0.0000
Co1 Co 0.0000 0.0000 0.5000
```

Calculated volume, Å³/f.u.: 98
Excess energy over the best structure of this formula in the dataset, meV/atom: 435.0
Formation energy, kJ/mol of formula units: 179
D(E_F), states/eV/cell: 9.4
Magnetization, μB/cell: 0.00
Uncorrected energy, eV per atom: -3.895

---

[6]
CaSc4Co: optimized geometry, PBE-GGA.

Structure (CIF):
```
data_CaSc4Co
_chemical_formula_sum 'Ca4 Sc16 Co4'
_space_group_name_H-M_alt 'F -4 3 m'
_space_group_IT_number 216
_space_group_name_Hall 'F -4 2 3'
_cell_length_a 8.4152
_cell_length_b 8.4152
_cell_length_c 8.4152
_cell_angle_alpha 90.00
_cell_angle_beta 90.00
_cell_angle_gamma 90.00
loop_
_atom_site_label
_atom_site_type_symbol
_atom_site_fract_x
_atom_site_fract_y
_atom_site_fract_z
Ca1 Ca 0.0000 0.0000 0.0000
Sc1 Sc 0.1231 0.1231 0.3769
Co1 Co 0.2500 0.2500 0.7500
```

Calculated volume, Å³/f.u.: 149
Formation energy, kJ/mol of formula units: 338
D(E_F), states/eV/cell: 42.6
Magnetization, μB/cell: 6.62
Uncorrected energy, eV per atom: -5.155

---

[7]
Ca2ScCo: optimized geometry, PBE-GGA.

Structure (CIF):
```
data_Ca2ScCo
_chemical_formula_sum 'Ca4 Sc2 Co2'
_space_group_name_H-M_alt 'I m m 2'
_space_group_IT_number 44
_cell_length_a 3.5075
_cell_length_b 5.6707
_cell_length_c 10.4906
_cell_angle_alpha 90.00
_cell_angle_beta 90.00
_cell_angle_gamma 90.00
loop_
_space_group_symop_operation_xyz
'x,y,z'
'-x,-y,z'
'-x,y,z'
'x,-y,z'
'x+1/2,y+1/2,z+1/2'
'-x+1/2,-y+1/2,z+1/2'
'-x+1/2,y+1/2,z+1/2'
'x+1/2,-y+1/2,z+1/2'
loop_
_atom_site_label
_atom_site_type_symbol
_atom_site_fract_x
_atom_site_fract_y
_atom_site_fract_z
Ca1 Ca 0.0000 0.0000 0.0000
Ca2 Ca 0.0000 0.5000 0.1855
Sc1 Sc 0.0000 0.0000 0.3676
Co1 Co 0.0000 0.5000 0.7132
```

Calculated volume, Å³/f.u.: 104
Excess energy over the best structure of this formula in the dataset, meV/atom: 80.1
Formation energy, kJ/mol of formula units: 42
D(E_F), states/eV/cell: 5.5
Magnetization, μB/cell: 0.00
Uncorrected energy, eV per atom: -4.250

---

[8]
Ca2ScCo: optimized geometry, PBE-GGA.

Structure (CIF):
```
data_Ca2ScCo
_chemical_formula_sum 'Ca4 Sc2 Co2'
_space_group_name_H-M_alt 'A m m 2'
_space_group_IT_number 38
_cell_length_a 3.4953
_cell_length_b 3.7409
_cell_length_c 16.7376
_cell_angle_alpha 90.00
_cell_angle_beta 90.00
_cell_angle_gamma 90.00
loop_
_space_group_symop_operation_xyz
'x,y,z'
'-x,-y,z'
'-x,y,z'
'x,-y,z'
'x,y+1/2,z+1/2'
'-x,-y+1/2,z+1/2'
'-x,y+1/2,z+1/2'
'x,-y+1/2,z+1/2'
loop_
_atom_site_label
_atom_site_type_symbol
_atom_site_fract_x
_atom_site_fract_y
_atom_site_fract_z
Ca1 Ca 0.0000 0.0000 0.0000
Ca2 Ca 0.5000 0.0000 0.3153
Sc1 Sc 0.5000 0.0000 0.6447
Co1 Co 0.0000 0.0000 0.1732
```

Calculated volume, Å³/f.u.: 109
Excess energy over the best structure of this formula in the dataset, meV/atom: 7.3
Formation energy, kJ/mol of formula units: 14
D(E_F), states/eV/cell: 9.2
Magnetization, μB/cell: 0.00
Uncorrected energy, eV per atom: -4.323